Density functional theory data (PBE) for crystalline ZnCuCl at its relaxed geometry.

The structure in CIF format:
```
data_ZnCuCl
_chemical_formula_sum 'Zn2 Cu2 Cl2'
_cell_length_a 3.103
_cell_length_b 3.103
_cell_length_c 10.989
_cell_angle_alpha 90.00
_cell_angle_beta 90.00
_cell_angle_gamma 90.00
_space_group_name_H-M_alt 'I 4 m m'
_space_group_IT_number 107
_space_group_name_Hall 'I 4 -2'
loop_
_atom_site_label
_atom_site_fract_x
_atom_site_fract_y
_atom_site_fract_z
_atom_site_occupancy
Zn1 0.000 0.000 0.000 1
Cu1 0.000 0.000 0.375 1
Cl1 0.000 0.000 0.737 1
```

Results
**Polymorph energy (0 for the lowest one)**: 158 meV/atom
**Formation energy from raw total energies**: 0.0 eV per formula unit

Density functional theory data (PBE) for crystalline ZnCu2Cl at its relaxed geometry.

The structure in CIF format:
```
data_ZnCu2Cl
_chemical_formula_sum 'Zn4 Cu8 Cl4'
_cell_length_a 6.353
_cell_length_b 6.353
_cell_length_c 6.353
_cell_angle_alpha 90.00
_cell_angle_beta 90.00
_cell_angle_gamma 90.00
_space_group_name_H-M_alt 'F m -3 m'
_space_group_IT_number 225
_space_group_name_Hall '-F 4 2 3'
loop_
_atom_site_label
_atom_site_fract_x
_atom_site_fract_y
_atom_site_fract_z
_atom_site_occupancy
Zn1 0.000 0.000 0.000 1
Cu1 0.250 0.250 0.250 1
Cl1 0.000 0.000 0.500 1
```

Results
**Polymorph energy (0 for the lowest one)**: 456 meV/atom
**Formation energy from raw total energies**: 1.6 eV per formula unit

Density functional theory data (PBE) for crystalline ZnCuCl4 at its relaxed geometry.

The structure in CIF format:
```
data_ZnCuCl4
_chemical_formula_sum 'Zn2 Cu2 Cl8'
_cell_length_a 6.758
_cell_length_b 6.758
_cell_length_c 8.562
_cell_angle_alpha 90.00
_cell_angle_beta 90.00
_cell_angle_gamma 90.00
_space_group_name_H-M_alt 'P 42/m m c'
_space_group_IT_number 131
_space_group_name_Hall '-P 4c 2'
loop_
_atom_site_label
_atom_site_fract_x
_atom_site_fract_y
_atom_site_fract_z
_atom_site_occupancy
Zn1 0.000 0.500 0.000 1
Cu1 0.000 0.000 0.000 1
Cl1 0.233 0.243 0.000 1
```

Results
**Formation energy from raw total energies**: -4.3 eV per formula unit

Density functional theory data (PBE) for crystalline ZnCu2Cl at its relaxed geometry.

The structure in CIF format:
```
data_ZnCu2Cl
_chemical_formula_sum 'Zn1 Cu2 Cl1'
_cell_length_a 3.925
_cell_length_b 3.002
_cell_length_c 5.705
_cell_angle_alpha 90.00
_cell_angle_beta 98.74
_cell_angle_gamma 90.00
_space_group_name_H-M_alt 'P 1 2/m 1'
_space_group_IT_number 10
loop_
_space_group_symop_operation_xyz
'x,y,z'
'-x,-y,-z'
'-x,y,-z'
'x,-y,z'
loop_
_atom_site_label
_atom_site_fract_x
_atom_site_fract_y
_atom_site_fract_z
_atom_site_occupancy
Zn1 0.000 0.000 0.000 1
Cu1 0.500 0.000 0.500 1
Cu2 0.500 0.500 0.000 1
Cl1 0.000 0.500 0.500 1
```

Results
**Polymorph energy (0 for the lowest one)**: 213 meV/atom
**Formation energy from raw total energies**: 0.6 eV per formula unit

Density functional theory data (PBE) for crystalline ZnCuCl4 at its relaxed geometry.

The structure in CIF format:
```
data_ZnCuCl4
_chemical_formula_sum 'Zn2 Cu2 Cl8'
_cell_length_a 14.264
_cell_length_b 3.415
_cell_length_c 6.801
_cell_angle_alpha 90.00
_cell_angle_beta 116.16
_cell_angle_gamma 90.00
_space_group_name_H-M_alt 'C 1 2/m 1'
_space_group_IT_number 12
loop_
_space_group_symop_operation_xyz
'x,y,z'
'-x,-y,-z'
'-x,y,-z'
'x,-y,z'
'x+1/2,y+1/2,z'
'-x+1/2,-y+1/2,-z'
'-x+1/2,y+1/2,-z'
'x+1/2,-y+1/2,z'
loop_
_atom_site_label
_atom_site_fract_x
_atom_site_fract_y
_atom_site_fract_z
_atom_site_occupancy
Zn1 0.000 0.000 0.000 1
Cu1 0.000 0.500 0.500 1
Cl1 0.101 0.000 0.463 1
Cl2 0.112 0.500 0.981 1
```

Results
**Formation energy from raw total energies**: -4.6 eV per formula unit

Density functional theory data (PBE) for crystalline ZnCu2Cl at its relaxed geometry.

The structure in CIF format:
```
data_ZnCu2Cl
_chemical_formula_sum 'Zn2 Cu4 Cl2'
_cell_length_a 3.009
_cell_length_b 5.453
_cell_length_c 7.777
_cell_angle_alpha 90.00
_cell_angle_beta 90.00
_cell_angle_gamma 90.00
_space_group_name_H-M_alt 'C m m m'
_space_group_IT_number 65
_space_group_name_Hall '-C 2 2'
loop_
_atom_site_label
_atom_site_fract_x
_atom_site_fract_y
_atom_site_fract_z
_atom_site_occupancy
Zn1 0.000 0.000 0.000 1
Cu1 0.000 0.500 0.252 1
Cl1 0.000 0.000 0.500 1
```

Results
**Polymorph energy (0 for the lowest one)**: 138 meV/atom
**Formation energy from raw total energies**: 0.3 eV per formula unit

Density functional theory data (PBE) for crystalline ZnCu2Cl6 at its relaxed geometry.

The structure in CIF format:
```
data_ZnCu2Cl6
_chemical_formula_sum 'Zn4 Cu8 Cl24'
_cell_length_a 11.817
_cell_length_b 14.361
_cell_length_c 6.038
_cell_angle_alpha 90.00
_cell_angle_beta 110.12
_cell_angle_gamma 90.00
_space_group_name_H-M_alt 'C 1 2/c 1'
_space_group_IT_number 15
loop_
_space_group_symop_operation_xyz
'x,y,z'
'-x,-y,-z'
'-x,y,-z+1/2'
'x,-y,z+1/2'
'x+1/2,y+1/2,z'
'-x+1/2,-y+1/2,-z'
'-x+1/2,y+1/2,-z+1/2'
'x+1/2,-y+1/2,z+1/2'
loop_
_atom_site_label
_atom_site_fract_x
_atom_site_fract_y
_atom_site_fract_z
_atom_site_occupancy
Zn1 0.000 0.203 0.250 1
Cu1 0.208 0.418 0.576 1
Cl1 0.114 0.279 0.584 1
Cl2 0.121 0.109 0.115 1
Cl3 0.159 0.441 0.188 1
```

Results
**Formation energy from raw total energies**: -5.9 eV per formula unit

Density functional theory data (PBE) for crystalline Zn3CuCl at its relaxed geometry.

The structure in CIF format:
```
data_Zn3CuCl
_chemical_formula_sum 'Zn3 Cu1 Cl1'
_cell_length_a 4.919
_cell_length_b 4.919
_cell_length_c 4.919
_cell_angle_alpha 90.00
_cell_angle_beta 90.00
_cell_angle_gamma 90.00
_space_group_name_H-M_alt 'P m -3 m'
_space_group_IT_number 221
_space_group_name_Hall '-P 4 2 3'
loop_
_atom_site_label
_atom_site_fract_x
_atom_site_fract_y
_atom_site_fract_z
_atom_site_occupancy
Zn1 0.000 0.000 0.500 1
Cu1 0.500 0.500 0.500 1
Cl1 0.000 0.000 0.000 1
```

Results
**Polymorph energy (0 for the lowest one)**: 779 meV/atom
**Formation energy from raw total energies**: 4.2 eV per formula unit

Density functional theory data (PBE) for crystalline ZnCu2Cl at its relaxed geometry.

The structure in CIF format:
```
data_ZnCu2Cl
_chemical_formula_sum 'Zn3 Cu6 Cl3'
_cell_length_a 3.0366
_cell_length_b 3.0366
_cell_length_c 22.8057
_cell_angle_alpha 90.00
_cell_angle_beta 90.00
_cell_angle_gamma 120.00
_space_group_name_H-M_alt 'R -3 m'
_space_group_IT_number 166
_space_group_name_Hall '-R 3 2"'
loop_
_atom_site_label
_atom_site_fract_x
_atom_site_fract_y
_atom_site_fract_z
_atom_site_occupancy
Zn1 0.0000 0.0000 0.0000 1
Cu1 0.0000 0.0000 0.2498 1
Cl1 0.0000 0.0000 0.5000 1
```

Results
**Polymorph energy (0 for the lowest one)**: 101 meV/atom
**Formation energy from raw total energies**: 0.2 eV per formula unit

Density functional theory data (PBE) for crystalline ZnCuCl4 at its relaxed geometry.

The structure in CIF format:
```
data_ZnCuCl4
_chemical_formula_sum 'Zn4 Cu4 Cl16'
_cell_length_a 8.368
_cell_length_b 8.368
_cell_length_c 8.368
_cell_angle_alpha 90.00
_cell_angle_beta 90.00
_cell_angle_gamma 90.00
_space_group_name_H-M_alt 'F -4 3 m'
_space_group_IT_number 216
_space_group_name_Hall 'F -4 2 3'
loop_
_atom_site_label
_atom_site_fract_x
_atom_site_fract_y
_atom_site_fract_z
_atom_site_occupancy
Zn1 0.000 0.000 0.000 1
Cu1 0.250 0.250 0.250 1
Cl1 0.125 0.125 0.625 1
```

Results
**Formation energy from raw total energies**: 4.4 eV per formula unit

Density functional theory data (PBE) for crystalline ZnCu2Cl at its relaxed geometry.

The structure in CIF format:
```
data_ZnCu2Cl
_chemical_formula_sum 'Zn2 Cu4 Cl2'
_cell_length_a 3.079
_cell_length_b 3.810
_cell_length_c 11.373
_cell_angle_alpha 90.00
_cell_angle_beta 90.00
_cell_angle_gamma 90.00
_space_group_name_H-M_alt 'I m m 2'
_space_group_IT_number 44
loop_
_space_group_symop_operation_xyz
'x,y,z'
'-x,-y,z'
'-x,y,z'
'x,-y,z'
'x+1/2,y+1/2,z+1/2'
'-x+1/2,-y+1/2,z+1/2'
'-x+1/2,y+1/2,z+1/2'
'x+1/2,-y+1/2,z+1/2'
loop_
_atom_site_label
_atom_site_fract_x
_atom_site_fract_y
_atom_site_fract_z
_atom_site_occupancy
Zn1 0.000 0.000 0.000 1
Cu1 0.000 0.000 0.468 1
Cu2 0.000 0.500 0.146 1
Cl1 0.000 0.500 0.757 1
```

Results
**Polymorph energy (0 for the lowest one)**: 86 meV/atom
**Formation energy from raw total energies**: 0.1 eV per formula unit

Density functional theory data (PBE) for crystalline ZnCu4Cl at its relaxed geometry.

The structure in CIF format:
```
data_ZnCu4Cl
_chemical_formula_sum 'Zn4 Cu16 Cl4'
_cell_length_a 7.082
_cell_length_b 7.082
_cell_length_c 7.082
_cell_angle_alpha 90.00
_cell_angle_beta 90.00
_cell_angle_gamma 90.00
_space_group_name_H-M_alt 'F -4 3 m'
_space_group_IT_number 216
_space_group_name_Hall 'F -4 2 3'
loop_
_atom_site_label
_atom_site_fract_x
_atom_site_fract_y
_atom_site_fract_z
_atom_site_occupancy
Zn1 0.000 0.000 0.000 1
Cu1 0.126 0.126 0.626 1
Cl1 0.250 0.250 0.250 1
```

Results
**Formation energy from raw total energies**: 1.4 eV per formula unit